Compound: RbLi2Al
Source: Alexandria
Functional: PBE-GGA
Structure: relaxed

DOS(E_F): 2.4 states/eV/f.u.
Crystal system: tetragonal
Total DFT energy (no corrections): -1.807 eV per atom

a = 5.5709 Å, b = 5.5709 Å, c = 10.3714 Å
α = 74.42°, β = 74.42°, γ = 90.00°
Last column: nearest neighbours and their distance in Å.
Positions (direct):
Al  0.5000  0.5000  0.0000  4 Li 2.77
Al  0.2500  0.7500  0.5000  4 Li 2.77
Rb  0.0000  0.0000  0.0000  8 Li 3.92-3.94, 4 Al 3.94
Rb  0.7500  0.2500  0.5000  8 Li 3.92-3.94, 4 Al 3.94
Li  0.3782  0.1250  0.2500  2 Al 2.77, 2 Li 2.79
Li  0.3718  0.6250  0.2500  2 Al 2.77, 2 Li 2.79
Li  0.3750  0.6218  0.7500  2 Al 2.77, 2 Li 2.79
Li  0.8750  0.6282  0.7500  2 Al 2.77, 2 Li 2.79